No. 1
VASP calculation (GGA-PBE) on a relaxed structure of Re2TcBr.

Summary:
As for the excess energy over the best structure of this formula in the dataset: 322.6 meV/atom. The symmetry is No. 8. As for the uncorrected formation energy: 889 meV/atom.

Unit cell a=5.0977 b=5.0977 c=4.5416 alpha=92.99 beta=92.99 gamma=33.62
Atoms (fractional coordinates):
Re  0.0000  0.0000  0.0000
Re  0.7090  0.7090  0.2376
Tc  0.4340  0.4340  0.4327
Br  0.2135  0.2135  0.6944

No. 2
VASP calculation (GGA-PBE) on a relaxed structure of NaAg3P.

Summary:
As for the excess energy over the best structure of this formula in the dataset: 0.0 meV/atom. The formation energy comes out at 75 meV per atom. The symmetry is No. 221.

Unit cell a=4.8288 b=4.8288 c=4.8288 alpha=90.00 beta=90.00 gamma=90.00
Atoms (fractional coordinates):
Na  0.0000  0.0000  0.0000
Ag  0.0000  0.5000  0.5000
Ag  0.5000  0.0000  0.5000
Ag  0.5000  0.5000  0.0000
P  0.5000  0.5000  0.5000

No. 3
VASP calculation (GGA-PBE) on a relaxed structure of Ba2Tl5Cd12.

Summary:
The formation energy comes out at -112 meV per atom. The symmetry is No. 166.

Unit cell a=8.1023 b=8.1023 c=8.1023 alpha=84.87 beta=84.87 gamma=84.87
Atoms (fractional coordinates):
Ba  0.1656  0.1656  0.1656
Ba  0.8344  0.8344  0.8344
Tl  0.0000  0.5000  0.5000
Tl  0.3996  0.3996  0.3996
Tl  0.5000  0.0000  0.5000
Tl  0.5000  0.5000  0.0000
Tl  0.6004  0.6004  0.6004
Cd  0.1469  0.1469  0.6795
Cd  0.1469  0.6795  0.1469
Cd  0.1865  0.5000  0.8135
Cd  0.1865  0.8135  0.5000
Cd  0.3205  0.8531  0.8531
Cd  0.5000  0.1865  0.8135
Cd  0.5000  0.8135  0.1865
Cd  0.6795  0.1469  0.1469
Cd  0.8135  0.1865  0.5000
Cd  0.8135  0.5000  0.1865
Cd  0.8531  0.3205  0.8531
Cd  0.8531  0.8531  0.3205

No. 4
VASP calculation (GGA-PBE) on a relaxed structure of Zn3WC.

Summary:
As for the excess energy over the best structure of this formula in the dataset: 0.0 meV/atom. The formation energy comes out at 1259 meV per atom. The symmetry is No. 221.

Unit cell a=4.1123 b=4.1123 c=4.1123 alpha=90.00 beta=90.00 gamma=90.00
Atoms (fractional coordinates):
Zn  0.0000  0.0000  0.5000
Zn  0.0000  0.5000  0.0000
Zn  0.5000  0.0000  0.0000
W  0.5000  0.5000  0.5000
C  0.0000  0.0000  0.0000